## LiBe5 (PBEsol)

Data for crystalline LiBe5 at its relaxed geometry.

Results
The value obtained for the formation energy is 0.36 eV/f.u.

Geometry as POSCAR:
```
LiBe5
1.0
-0.359 1.893 -3.013
-2.236 -3.185 -1.735
-2.001 3.073 2.169
Be Li
5 1
direct
0.000 0.500 0.000
0.500 0.667 0.333
0.000 0.500 0.500
0.500 0.333 0.667
0.000 0.000 0.500
0.500 0.000 0.000
```